1.
# Na2Ge2PdPt

Na2Ge2PdPt after structural relaxation (PBE-GGA, the Open Quantum Materials Database).

Computed properties:
Spin magnetization ... 0.0 μB/f.u.
E_tot ... -4.14 eV per atom

Cell and atoms, written as CIF:
```
data_Na2Ge2PdPt
_chemical_formula_sum 'Na2 Ge2 Pd1 Pt1'
_space_group_name_H-M_alt 'P -6 m 2'
_space_group_IT_number 187
_space_group_name_Hall 'P -6 2'
_cell_length_a 4.5794
_cell_length_b 4.5794
_cell_length_c 5.7400
_cell_angle_alpha 90.00
_cell_angle_beta 90.00
_cell_angle_gamma 120.00
loop_
_atom_site_label
_atom_site_fract_x
_atom_site_fract_y
_atom_site_fract_z
_atom_site_occupancy
Na1 0.0000 0.0000 0.2496 1
Ge1 0.3333 0.6667 0.0000 1
Ge2 0.6667 0.3333 0.5000 1
Pd1 0.3333 0.6667 0.5000 1
Pt1 0.6667 0.3333 0.0000 1
```



2.
# Na4SiGePd2

Na4SiGePd2 after structural relaxation (PBE-GGA, the Open Quantum Materials Database).

Computed properties:
E_tot ... -3.28 eV per atom

Cell and atoms, written as CIF:
```
data_Na4SiGePd2
_chemical_formula_sum 'Na4 Si1 Ge1 Pd2'
_space_group_name_H-M_alt 'P -4 m 2'
_space_group_IT_number 115
_space_group_name_Hall 'P -4 -2'
_cell_length_a 4.6759
_cell_length_b 4.6759
_cell_length_c 6.6219
_cell_angle_alpha 90.00
_cell_angle_beta 90.00
_cell_angle_gamma 90.00
loop_
_atom_site_label
_atom_site_fract_x
_atom_site_fract_y
_atom_site_fract_z
_atom_site_occupancy
Na1 0.0000 0.0000 0.0000 1
Na2 0.0000 0.5000 0.2488 1
Na3 0.5000 0.5000 0.5000 1
Si1 0.5000 0.5000 0.0000 1
Ge1 0.0000 0.0000 0.5000 1
Pd1 0.0000 0.5000 0.7619 1
```



3.
# Na4SnGePd2

Na4SnGePd2 after structural relaxation (PBE-GGA, the Open Quantum Materials Database).

Computed properties:
E_tot ... -3.21 eV per atom

Cell and atoms, written as CIF:
```
data_Na4SnGePd2
_chemical_formula_sum 'Na4 Sn1 Ge1 Pd2'
_space_group_name_H-M_alt 'P -4 m 2'
_space_group_IT_number 115
_space_group_name_Hall 'P -4 -2'
_cell_length_a 4.7889
_cell_length_b 4.7889
_cell_length_c 6.8651
_cell_angle_alpha 90.00
_cell_angle_beta 90.00
_cell_angle_gamma 90.00
loop_
_atom_site_label
_atom_site_fract_x
_atom_site_fract_y
_atom_site_fract_z
_atom_site_occupancy
Na1 0.0000 0.0000 0.0000 1
Na2 0.0000 0.5000 0.2341 1
Na3 0.5000 0.5000 0.5000 1
Sn1 0.0000 0.0000 0.5000 1
Ge1 0.5000 0.5000 0.0000 1
Pd1 0.0000 0.5000 0.7599 1
```



Number 1: calculated volume 17.37 Å³/atom. Number 2: calculated volume 18.10 Å³/atom. Number 3: calculated volume 19.68 Å³/atom.